The following is a PBE with a Hubbard U calculation of a relaxed Li2FeSi6O15 crystal, from Alexandria via LeMat-Bulk.

## Properties
As for the space group: P2_1 (4). The calculation puts the density of states at the Fermi level at 0.10 states/eV per atom. The value obtained for the energy above the lowest structure with this stoichiometry is 0.029 eV per atom. The volume is 628 Å³/cell. The total energy comes out at -349.98 eV per cell.

Cell: 12.7592 6.9994 7.5454 Å, 68.69 90.00 90.00°
Each line ends with the local moment (μB).
Atoms (fractional coordinates):
O 0.2268 0.5457 0.9956  -0.04
O 0.9333 0.6400 0.5386  -0.01
O 0.2640 0.9610 0.4912  -0.02
O 0.6925 0.9848 0.1884  0.04
O 0.8141 0.4975 0.3216  0.06
O 0.1925 0.0152 0.8116  0.04
O 0.0671 0.3586 0.2393  0.00
O 0.4644 0.4920 0.0843  -0.01
O 0.8853 0.1761 0.1944  -0.06
O 0.2325 0.4328 0.3809  -0.01
O 0.9386 0.8962 0.7273  0.00
O 0.1138 0.7154 0.6632  -0.06
O 0.6138 0.2846 0.3368  -0.06
O 0.0538 0.1391 0.0163  -0.02
O 0.4333 0.3600 0.4614  -0.01
O 0.7268 0.4543 0.0044  -0.04
O 0.5671 0.6414 0.7607  0.00
O 0.9644 0.5080 0.9157  -0.01
O 0.1188 0.7594 0.1610  -0.01
O 0.3141 0.5025 0.6784  0.06
O 0.7640 0.0390 0.5088  -0.02
O 0.2568 0.0708 0.1138  -0.01
O 0.6188 0.2406 0.8390  -0.01
O 0.7568 0.9292 0.8862  -0.01
O 0.5538 0.8609 0.9837  -0.02
O 0.3853 0.8239 0.8056  -0.06
O 0.8663 0.2570 0.6838  0.00
O 0.7325 0.5672 0.6191  -0.01
O 0.3663 0.7430 0.3162  0.00
O 0.4386 0.1038 0.2727  0.00
Si 0.3308 0.9705 0.3066  0.01
Si 0.8376 0.4859 0.5343  0.00
Si 0.3376 0.5141 0.4657  0.00
Si 0.1620 0.5310 0.1849  0.01
Si 0.6530 0.0083 0.9785  0.00
Si 0.8308 0.0295 0.6934  0.01
Si 0.9904 0.6885 0.7125  0.01
Si 0.6620 0.4690 0.8151  0.01
Si 0.4904 0.3115 0.2875  0.01
Si 0.9898 0.2966 0.0915  0.01
Si 0.4898 0.7034 0.9085  0.01
Si 0.1530 0.9917 0.0215  0.00
Li 0.3155 0.2194 0.8494  0.00
Li 0.6655 0.8505 0.4612  0.00
Li 0.8155 0.7806 0.1506  0.00
Li 0.1655 0.1495 0.5388  0.00
Fe 0.2508 0.7440 0.7475  4.06
Fe 0.7508 0.2560 0.2525  4.06